# 1
Entry from the Alexandria database: an optimized crystal structure of SmY2TmSc (PBE).

a = 7.114 Å, b = 8.187 Å, c = 6.933 Å
α = 126.19°, β = 90.00°, γ = 90.00°
Element x y z (fractional)
1 Sm 0.250 0.732 0.465
2 Sm 0.750 0.268 0.535
3 Y 0.500 0.302 0.000
4 Y 0.000 0.698 0.000
5 Y 0.500 0.698 0.000
6 Y 0.000 0.302 0.000
7 Tm 0.750 0.733 0.465
8 Tm 0.250 0.267 0.535
9 Sc 0.250 0.996 0.993
10 Sc 0.750 0.004 0.007

Symmetry: No. 63
Final energy in eV per cell: -53.42
Energy relative to the elements in eV/atom: 0.3477
Crystal system: orthorhombic

# 2
Entry from the Alexandria database: an optimized crystal structure of V8SnN2 (PBE).

a = 4.330 Å, b = 7.320 Å, c = 7.320 Å
α = 39.76°, β = 72.79°, γ = 72.79°
Element x y z (fractional)
1 V 0.401 0.353 0.845
2 V 0.599 0.155 0.647
3 V 0.224 0.776 0.776
4 V 0.776 0.224 0.224
5 V 0.401 0.845 0.353
6 V 0.599 0.647 0.155
7 V 0.869 0.631 0.631
8 V 0.131 0.369 0.369
9 Sn 0.000 0.000 0.000
10 N 0.723 0.777 0.777
11 N 0.277 0.223 0.223

Symmetry: No. 71
Energy relative to the elements, uncorrected in meV/atom: -172
Final energy in eV per cell: -95.50
Crystal system: orthorhombic

# 3
Entry from the Alexandria database: an optimized crystal structure of Pa2TeOs (PBE).

a = 3.377 Å, b = 3.377 Å, c = 7.984 Å
α = 90.00°, β = 90.00°, γ = 90.00°
Element x y z (fractional)
1 Te 0.500 0.500 0.500
2 Pa 0.000 0.000 0.773
3 Pa 0.000 0.000 0.227
4 Os 0.500 0.500 0.000

Symmetry: No. 123
Polymorph energy (0 for the lowest one) in meV/atom: 188
Energy relative to the elements, uncorrected in meV/atom: -412
Final energy in eV per cell: -35.01
Crystal system: tetragonal

# 4
Entry from the Alexandria database: an optimized crystal structure of BaLaMo2 (PBE).

a = 5.815 Å, b = 5.815 Å, c = 7.299 Å
α = 60.92°, β = 60.92°, γ = 38.84°
Element x y z (fractional)
1 Ba 0.250 0.250 0.250
2 La 0.750 0.750 0.750
3 Mo 0.003 0.003 0.850
4 Mo 0.497 0.497 0.650

Symmetry: No. 12
Polymorph energy (0 for the lowest one) in meV/atom: 260
Final energy in eV per cell: -25.53
Energy relative to the elements in eV/atom: 0.7450
Crystal system: monoclinic

# 5
Entry from the Alexandria database: an optimized crystal structure of KRe2Ni (PBE).

a = 5.838 Å, b = 5.838 Å, c = 2.594 Å
α = 81.72°, β = 81.72°, γ = 126.08°
Element x y z (fractional)
1 K 0.500 0.000 0.500
2 Ni 0.000 0.500 0.500
3 Re 0.000 0.000 0.000
4 Re 0.500 0.500 0.000

Symmetry: No. 12
Polymorph energy (0 for the lowest one) in meV/atom: 601
Final energy in eV per cell: -26.59
Energy relative to the elements in eV/atom: 1.2956
Crystal system: monoclinic

# 6
Entry from the Alexandria database: an optimized crystal structure of Rb2BBrF6 (PBE).

a = 6.479 Å, b = 6.479 Å, c = 6.305 Å
α = 59.08°, β = 59.08°, γ = 90.00°
Element x y z (fractional)
1 B 0.500 0.500 0.000
2 Br 0.000 0.000 0.000
3 Rb 0.750 0.250 0.500
4 Rb 0.250 0.750 0.500
5 F 0.230 0.230 0.540
6 F 0.770 0.770 0.460
7 F 0.336 0.336 0.000
8 F 0.664 0.664 0.000
9 F 0.664 0.336 0.000
10 F 0.336 0.664 0.000

Symmetry: No. 139
Energy relative to the elements, uncorrected in meV/atom: -2155
Final energy in eV per cell: -43.06
Crystal system: tetragonal

# 7
Entry from the Alexandria database: an optimized crystal structure of MnSiAg2Se4 (PBE).

a = 5.753 Å, b = 5.753 Å, c = 7.347 Å
α = 113.05°, β = 113.05°, γ = 90.00°
Element x y z (fractional)
1 Mn 0.000 0.000 0.000
2 Si 0.500 0.500 0.000
3 Ag 0.750 0.250 0.500
4 Ag 0.250 0.750 0.500
5 Se 0.621 0.621 0.779
6 Se 0.379 0.842 0.221
7 Se 0.842 0.379 0.221
8 Se 0.158 0.158 0.779

Symmetry: No. 121
Polymorph energy (0 for the lowest one) in meV/atom: 16
Energy relative to the elements, uncorrected in meV/atom: -299
Final energy in eV per cell: -36.62
Crystal system: tetragonal

# 8
Entry from the Alexandria database: an optimized crystal structure of PbSeBr2F (PBE).

a = 5.621 Å, b = 5.621 Å, c = 6.043 Å
α = 90.00°, β = 90.00°, γ = 90.00°
Element x y z (fractional)
1 Pb 0.000 0.000 0.000
2 Se 0.000 0.000 0.500
3 Br 0.000 0.500 0.000
4 Br 0.500 0.000 0.000
5 F 0.500 0.500 0.500

Symmetry: No. 123
Polymorph energy (0 for the lowest one) in meV/atom: 216
Energy relative to the elements, uncorrected in meV/atom: 14
Final energy in eV per cell: -12.34
Crystal system: tetragonal

Which value of final energy does entry 3 give?
-35.01 eV per cell

Repeat the third record exactly.
Entry from the Alexandria database: an optimized crystal structure of Pa2TeOs (PBE).

a = 3.377 Å, b = 3.377 Å, c = 7.984 Å
α = 90.00°, β = 90.00°, γ = 90.00°
Element x y z (fractional)
1 Te 0.500 0.500 0.500
2 Pa 0.000 0.000 0.773
3 Pa 0.000 0.000 0.227
4 Os 0.500 0.500 0.000

Symmetry: No. 123
Polymorph energy (0 for the lowest one) in meV/atom: 188
Energy relative to the elements, uncorrected in meV/atom: -412
Final energy in eV per cell: -35.01
Crystal system: tetragonal

Number 2 is which compound?
V8SnN2

What is the final energy in the fourth record?
-25.53 eV per cell